Entry 1:
A relaxed structure of MnMo. Source: Alexandria via LeMat-Bulk, functional GGA-PBE.

a = 4.0494 Å, b = 4.0494 Å, c = 4.8943 Å
α = 90.00°, β = 90.00°, γ = 120.00°
Space group P6_3/mmc (No. 194)
One atom of each set of equivalent atoms:
1 Mn 0.3333 0.6667 0.2500 (multiplicity 2)
2 Mo 0.3333 0.6667 0.7500 (multiplicity 2)

***

Entry 2:
A relaxed structure of Mn2Mo. Source: Alexandria via LeMat-Bulk, functional GGA-PBE.

a = 4.7151 Å, b = 4.7151 Å, c = 15.4712 Å
α = 90.00°, β = 90.00°, γ = 120.00°
Space group P6_3/mmc (No. 194)
One atom of each set of equivalent atoms:
1 Mn 0.0000 0.5000 0.0000 (multiplicity 6)
2 Mn 0.1602 0.3203 0.2500 (multiplicity 6)
3 Mn 0.3333 0.6667 0.1284 (multiplicity 4)
4 Mo 0.0000 0.0000 0.0918 (multiplicity 4)
5 Mo 0.3333 0.6667 0.6565 (multiplicity 4)

***

Entry 3:
A relaxed structure of MnMo. Source: Alexandria via LeMat-Bulk, functional GGA-PBE.

a = 2.7679 Å, b = 2.7679 Å, c = 4.3527 Å
α = 90.00°, β = 90.00°, γ = 120.00°
Space group P-6m2 (No. 187)
One atom of each set of equivalent atoms:
1 Mn 0.0000 0.0000 0.0000 (multiplicity 1)
2 Mo 0.3333 0.6667 0.5000 (multiplicity 1)

***

Entry 4:
A relaxed structure of Mn4Mo3. Source: Alexandria via LeMat-Bulk, functional GGA-PBE.

Properties
The energy above the most stable polymorph in this dataset comes out at 0.000 eV/atom.

a = 3.045 Å, b = 3.045 Å, c = 20.405 Å
α = 90.00°, β = 90.00°, γ = 90.00°
Space group I4/mmm (No. 139)
One atom of each set of equivalent atoms:
1 Mn 0.000 0.000 0.070 (multiplicity 4)
2 Mn 0.000 0.000 0.358 (multiplicity 4)
3 Mo 0.000 0.000 0.208 (multiplicity 4)
4 Mo 0.000 0.000 0.500 (multiplicity 2)

***

Entry 5:
A relaxed structure of Mn2Mo. Source: Alexandria via LeMat-Bulk, functional GGA-PBE.

a = 5.807 Å, b = 5.807 Å, c = 4.910 Å
α = 90.00°, β = 90.00°, γ = 90.00°
Space group I4/mcm (No. 140)
One atom of each set of equivalent atoms:
1 Mn 0.133 0.367 0.000 (multiplicity 8)
2 Mo 0.000 0.000 0.250 (multiplicity 4)

***

Entry 6:
A relaxed structure of MnMo. Source: Alexandria via LeMat-Bulk, functional GGA-PBE.

a = 4.928 Å, b = 4.928 Å, c = 4.876 Å
α = 90.00°, β = 90.00°, γ = 90.00°
Space group P4_2/mnm (No. 136)
One atom of each set of equivalent atoms:
1 Mn 0.198 0.198 0.000 (multiplicity 4)
2 Mo 0.209 0.209 0.500 (multiplicity 4)

***

| no. | DFT formation energy (kJ/mol of formula units) |
| --- | --- |
| 1 | 213 |
| 2 | -16 |
| 3 | 68 |
| 4 | 86 |
| 5 | 194 |
| 6 | 157 |